# 1
Material: TbTcNi
Method: DFT, PBE-GGA
State: relaxed

Unit cell a=4.375 b=4.375 c=4.375 alpha=60.00 beta=60.00 gamma=60.00
Sites, in units of the cell vectors:
Tb 0.000 0.000 0.000
Tc 0.500 0.500 0.500
Ni 0.250 0.250 0.250

The formation energy is 0.362 eV per atom.

# 2
Material: NaPuSn
Method: DFT, PBE-GGA
State: relaxed

Unit cell a=5.179 b=5.179 c=5.179 alpha=60.00 beta=60.00 gamma=60.00
Sites, in units of the cell vectors:
Na 0.000 0.000 0.000
Pu 0.250 0.250 0.250
Sn 0.500 0.500 0.500

no.,raw total energy (eV for the cell shown),magnetization (μB per formula unit)
1,-19.47,2.2
2,-18.40,5.2